Na3GeF after structural relaxation, computed with PBE.

Computed properties:
Relative energy among the computed polymorphs: 0.00 eV/f.u.
Formation energy without anion corrections: -0.988 eV/atom
Electronic total energy: -3.08 eV per atom

Cell: 4.6670 4.6670 4.6670 Å, 90.00 90.00 90.00°
Closest atoms and distances in Å follow each position.
Fractional positions:
Na  0.0000  0.0000  0.5000  2 F 2.33
Na  0.0000  0.5000  0.0000  2 F 2.33
Na  0.5000  0.0000  0.0000  2 F 2.33
Ge  0.5000  0.5000  0.5000  12 Na 3.30
F  0.0000  0.0000  0.0000  6 Na 2.33



NaGe2F8 after structural relaxation, computed with PBE.

Computed properties:
Relative energy among the computed polymorphs: 0.32 eV/f.u.
Formation energy without anion corrections: -2.270 eV/atom
Electronic total energy: -4.59 eV per atom

Cell: 5.7281 5.7281 5.3484 Å, 96.61 96.61 67.11°
Closest atoms and distances in Å follow each position.
Fractional positions:
Na  0.0000  0.0000  0.0000  2 F 2.21
Ge  0.2760  0.2760  0.5207  4 F 1.79-1.96
Ge  0.7240  0.7240  0.4793  4 F 1.79-1.96
F  0.0636  0.6481  0.6526  2 Ge 1.96-2.09
F  0.1868  0.1868  0.7982  1 Ge 1.81
F  0.3519  0.9364  0.3474  2 Ge 1.96-2.09
F  0.3934  0.3934  0.2871  1 Ge 1.79
F  0.6066  0.6066  0.7129  1 Ge 1.79
F  0.6481  0.0636  0.6526  2 Ge 1.96-2.09
F  0.8132  0.8132  0.2018  1 Ge 1.81
F  0.9364  0.3519  0.3474  2 Ge 1.96-2.09



Na3GeF8 after structural relaxation, computed with PBE.

Computed properties:
Formation energy without anion corrections: -2.228 eV/atom
Electronic total energy: -4.19 eV per atom

Cell: 5.2829 5.2829 5.2829 Å, 90.00 90.00 90.00°
Closest atoms and distances in Å follow each position.
Fractional positions:
Na  0.0000  0.0000  0.5000  8 F 2.39
Na  0.0000  0.5000  0.0000  8 F 2.39
Na  0.5000  0.0000  0.0000  8 F 2.39
Ge  0.5000  0.5000  0.5000  8 F 2.01
F  0.2799  0.2799  0.2799  1 Ge 2.01
F  0.2799  0.2799  0.7201  1 Ge 2.01
F  0.2799  0.7201  0.2799  1 Ge 2.01
F  0.2799  0.7201  0.7201  1 Ge 2.01
F  0.7201  0.2799  0.2799  1 Ge 2.01
F  0.7201  0.2799  0.7201  1 Ge 2.01
F  0.7201  0.7201  0.2799  1 Ge 2.01
F  0.7201  0.7201  0.7201  1 Ge 2.01



NaGe3F after structural relaxation, computed with PBE.

Computed properties:
Relative energy among the computed polymorphs: 4.44 eV/f.u.
Formation energy without anion corrections: 0.800 eV/atom
Electronic total energy: -2.61 eV per atom

Cell: 5.0875 5.0875 5.0875 Å, 90.00 90.00 90.00°
Closest atoms and distances in Å follow each position.
Fractional positions:
Na  0.0000  0.0000  0.0000  6 Ge 2.54
Ge  0.0000  0.0000  0.5000  2 Na 2.54
Ge  0.0000  0.5000  0.0000  2 Na 2.54
Ge  0.5000  0.0000  0.0000  2 Na 2.54
F  0.5000  0.5000  0.5000  12 Ge 3.60



NaGeF2 after structural relaxation, computed with PBE.

Computed properties:
Relative energy among the computed polymorphs: 2.03 eV/f.u.
Formation energy without anion corrections: -1.524 eV/atom
Electronic total energy: -3.94 eV per atom

Cell: 6.3988 6.3988 6.3988 Å, 35.46 35.46 35.46°
Closest atoms and distances in Å follow each position.
Fractional positions:
Na  0.0000  0.0000  0.0000  2 F 2.16
Ge  0.5000  0.5000  0.5000  6 F 2.40
F  0.1204  0.1204  0.1204  1 Na 2.16, 3 Ge 2.40
F  0.8796  0.8796  0.8796  1 Na 2.16, 3 Ge 2.40



NaNbGe2F after structural relaxation, computed with PBE.

Computed properties:
Formation energy without anion corrections: -0.494 eV/atom
Electronic total energy: -4.99 eV per atom

Cell: 5.1204 5.1204 4.2267 Å, 90.00 90.00 90.00°
Closest atoms and distances in Å follow each position.
Fractional positions:
Na  0.0000  0.0000  0.0000  8 Ge 3.32, 4 F 3.62
Nb  0.5000  0.5000  0.5000  2 F 2.11
Ge  0.0000  0.5000  0.5000  2 Nb 2.56
Ge  0.5000  0.0000  0.5000  2 Nb 2.56
F  0.5000  0.5000  0.0000  2 Nb 2.11



Looking at V for the records above, in order, we have 20.330 14.556 12.286 26.336 19.698 22.163 Å³/atom.